Material: Pr2NiRh2
Method: DFT, PBE-GGA
State: relaxed

space-group type = C2/c (15)
DOS(E_F) = 9.34 states/eV per cell
energy of formation from the pure elements = -0.49 eV/atom
magnetization = 0.0 Bohr magnetons per cell

Cell lengths 5.6691, 5.6691, 7.8383 Å; angles 77.17, 77.17, 58.62 degrees
Last column: nearest neighbours and their distance in Å.
Element x y z (fractional)
Rh1 0.2447 0.0020 0.4973  2 Ni 2.55-2.59, 1 Rh 2.78
Rh2 0.9980 0.7553 0.0027  2 Ni 2.55-2.59, 1 Rh 2.78
Pr1 0.4761 0.2214 0.1542  6 Rh 2.97-3.14, 1 Ni 3.16
Rh3 0.0020 0.2447 0.9973  2 Ni 2.55-2.59, 1 Rh 2.78
Ni1 0.1647 0.8353 0.2500  4 Rh 2.55-2.59
Ni2 0.8353 0.1647 0.7500  4 Rh 2.55-2.59
Pr2 0.5239 0.7786 0.8458  6 Rh 2.97-3.14, 1 Ni 3.16
Pr3 0.2214 0.4761 0.6542  6 Rh 2.97-3.14, 1 Ni 3.16
Pr4 0.7786 0.5239 0.3458  6 Rh 2.97-3.14, 1 Ni 3.16
Rh4 0.7553 0.9980 0.5027  2 Ni 2.55-2.59, 1 Rh 2.78